# PBE AcB2Ru, relaxed
data_AcB2Ru
_chemical_formula_sum 'Ac2 B4 Ru2'
_space_group_name_H-M_alt 'P 1'
_space_group_IT_number 1
_space_group_name_Hall 'P 1'
_cell_length_a 3.313
_cell_length_b 5.597
_cell_length_c 6.938
_cell_angle_alpha 90.00
_cell_angle_beta 103.73
_cell_angle_gamma 90.00
loop_
_atom_site_label
_atom_site_type_symbol
_atom_site_fract_x
_atom_site_fract_y
_atom_site_fract_z
Ac1 Ac 0.080 0.250 0.158
Ac2 Ac 0.920 0.750 0.842
B1 B 0.254 0.591 0.507
B2 B 0.254 0.909 0.507
B3 B 0.746 0.091 0.493
B4 B 0.746 0.409 0.493
Ru1 Ru 0.333 0.250 0.667
Ru2 Ru 0.667 0.750 0.333
# Energy of formation from the pure elements (meV per atom): -280
# E_tot (eV per atom): -6.964
# M_tot (μB per cell): 0.00
# ρ (g cm⁻³): 9.293
# Crystal system: monoclinic